# Na4HgAu | Alexandria | PBE | optimized geometry
# * ΔE_f: -1.4 eV/f.u.
# * uncorrected energy: -1.708 eV/atom
# * calculated density: 4.9 Mg/m³
data_Na4HgAu
_chemical_formula_sum 'Na16 Hg4 Au4'
_space_group_name_H-M_alt 'C 1 2/c 1'
_space_group_IT_number 15
_space_group_name_Hall '-C 2yc'
_cell_length_a 9.0841
_cell_length_b 13.9408
_cell_length_c 5.5822
_cell_angle_alpha 90.00
_cell_angle_beta 108.96
_cell_angle_gamma 90.00
loop_
_atom_site_label
_atom_site_type_symbol
_atom_site_fract_x
_atom_site_fract_y
_atom_site_fract_z
Na1 Na 0.1181 0.1793 0.0695
Na2 Na 0.2022 0.4247 0.3482
Hg1 Hg 0.0000 0.3724 0.7500
Au1 Au 0.0000 0.9998 0.2500